{
  "formula": "TbSc2ZnPt4",
  "functional": "PBE-GGA",
  "state": "relaxed",
  "ef_ev_per_fu": -8.42,
  "energy_ev_per_atom": -6.39,
  "space_group": "R-3m",
  "magmom_total_mub_per_atom": 0.0000,
  "cell": [[2.290, 1.322, 8.115], [-2.290, 1.322, 8.115], [0.000, -2.644, 8.115]],
  "species": ["Tb", "Sc", "Sc", "Zn", "Pt", "Pt", "Pt", "Pt"],
  "fractional_positions": [[0.000, 0.000, 0.000], [0.240, 0.240, 0.240], [0.760, 0.760, 0.760], [0.500, 0.500, 0.500], [0.126, 0.126, 0.126], [0.392, 0.392, 0.392], [0.608, 0.608, 0.608], [0.874, 0.874, 0.874]]
}